[1]
Material: Ti2AlSb
Method: DFT, PBE
State: optimized geometry

Cell: 6.6197 6.6197 6.6197 Å, 90.00 90.00 90.00°
Space group Fm-3m (No. 225)
Unique sites:
Ti: 0.2500 0.2500 0.2500 (multiplicity 8)
Al: 0.0000 0.0000 0.0000 (multiplicity 4)
Sb: 0.0000 0.0000 0.5000 (multiplicity 4)

- energy above the most stable polymorph in this dataset (eV per formula unit) = 0.770
- crystal system = cubic



[2]
Material: RbPmSeBr
Method: DFT, PBE
State: optimized geometry

Cell: 4.2468 4.2468 25.1984 Å, 90.00 90.00 120.00°
Space group R3m (No. 160, hexagonal axes)
Unique sites:
Rb: 0.0000 0.0000 0.0000 (multiplicity 3)
Pm: 0.0000 0.0000 0.1825 (multiplicity 3)
Se: 0.0000 0.0000 0.5791 (multiplicity 3)
Br: 0.0000 0.0000 0.7720 (multiplicity 3)

- crystal system = trigonal



[3]
Material: Dy4Cd2O
Method: DFT, PBE
State: optimized geometry

Cell: 4.7479 4.7479 15.3064 Å, 90.00 90.00 90.00°
Space group I4/mmm (No. 139)
Unique sites:
Dy: 0.0000 0.0000 0.1734 (multiplicity 4)
Dy: 0.0000 0.5000 0.0000 (multiplicity 4)
Cd: 0.0000 0.0000 0.3684 (multiplicity 4)
O: 0.0000 0.0000 0.0000 (multiplicity 2)

- crystal system = tetragonal



[4]
Material: Cs2SrCoH6
Method: DFT, PBE
State: optimized geometry

Cell: 6.4710 6.4710 6.0353 Å, 90.00 90.00 120.00°
Space group P-3m1 (No. 164)
Unique sites:
Cs: 0.3333 0.6667 0.3806 (multiplicity 2)
Sr: 0.0000 0.0000 0.0000 (multiplicity 1)
Co: 0.0000 0.0000 0.5000 (multiplicity 1)
H: 0.1149 0.2299 0.6494 (multiplicity 6)

- crystal system = trigonal



[5]
Material: LaNd2Co
Method: DFT, PBE
State: optimized geometry

Cell: 7.0561 9.9341 6.5953 Å, 90.00 90.00 90.00°
Space group Pnma (No. 62)
Unique sites:
La: 0.0628 0.2500 0.1400 (multiplicity 4)
Nd: 0.1612 0.0690 0.6749 (multiplicity 8)
Co: 0.1270 0.7500 0.4524 (multiplicity 4)

- energy above the most stable polymorph in this dataset (eV per formula unit) = 0.000
- energy of formation from the pure elements (eV/atom) = -0.088
- crystal system = orthorhombic



[6]
Material: TbPm3O6
Method: DFT, PBE
State: optimized geometry

Cell: 5.8554 6.1048 10.4976 Å, 90.00 123.72 90.00°
Space group P2_1/c (No. 14)
Unique sites:
Tb: 0.0000 0.0000 0.0000 (multiplicity 2)
Pm: 0.2304 0.0501 0.7514 (multiplicity 4)
Pm: 0.5000 0.0000 0.5000 (multiplicity 2)
O: 0.1014 0.1946 0.4163 (multiplicity 4)
O: 0.2295 0.6874 0.4210 (multiplicity 4)
O: 0.3959 0.0800 0.2456 (multiplicity 4)

- energy above the most stable polymorph in this dataset (eV per formula unit) = 0.859
- crystal system = monoclinic



[7]
Material: TbInPdRh
Method: DFT, PBE
State: optimized geometry

Cell: 6.7405 6.7405 6.7405 Å, 90.00 90.00 90.00°
Space group F-43m (No. 216)
Unique sites:
Tb: 0.0000 0.0000 0.0000 (multiplicity 4)
In: 0.0000 0.0000 0.5000 (multiplicity 4)
Pd: 0.2500 0.2500 0.7500 (multiplicity 4)
Rh: 0.2500 0.2500 0.2500 (multiplicity 4)

- energy of formation from the pure elements (eV/atom) = -0.745
- crystal system = cubic



[8]
Material: PuGaPtAu
Method: DFT, PBE
State: optimized geometry

Cell: 6.8028 6.8028 6.8028 Å, 90.00 90.00 90.00°
Space group F-43m (No. 216)
Unique sites:
Pu: 0.0000 0.0000 0.0000 (multiplicity 4)
Ga: 0.2500 0.2500 0.2500 (multiplicity 4)
Pt: 0.2500 0.2500 0.7500 (multiplicity 4)
Au: 0.0000 0.0000 0.5000 (multiplicity 4)

- energy of formation from the pure elements (eV/atom) = -0.387
- crystal system = cubic



[9]
Material: NbAlRu
Method: DFT, PBE
State: optimized geometry

Cell: 4.4187 5.2773 8.0745 Å, 90.00 90.00 90.00°
Space group Immm (No. 71)
Unique sites:
Nb: 0.0000 0.0000 0.1668 (multiplicity 4)
Al: 0.0000 0.5000 0.1559 (multiplicity 4)
Ru: 0.0000 0.2483 0.5000 (multiplicity 4)

- energy of formation from the pure elements (eV/atom) = -0.075
- crystal system = orthorhombic



Record order is preserved below.
DOS at the Fermi energy: 22.3 7.8 3.6 2.9 20.0 0.0 11.9 39.7 10.4 states/eV/cell
Record order is preserved below.
Electronic total energy: -6.019 -4.220 -4.530 -3.297 -5.480 -8.224 -5.724 -7.056 -7.771 eV/atom